Below is an optimized crystal structure of Ta2CrO, with properties calculated at the PBE+U level.

Output
uncorrected energy: -9.28 eV/atom
DOS at the Fermi energy: 4.7 states/eV/cell

a = 7.0258 Å, b = 7.0258 Å, c = 5.5803 Å
α = 50.99°, β = 50.99°, γ = 90.00°
Site moments in Bohr magnetons follow the coordinates.
Fractional coordinates of all 8 atoms:
Cr: 0.0000 0.0000 0.0000  3.85
Cr: 0.7500 0.2500 0.5000  3.84
O: 0.5000 0.5000 0.0000  0.04
O: 0.2500 0.7500 0.5000  0.04
Ta: 0.5126 0.1250 0.2500  -0.21
Ta: 0.2374 0.6250 0.2500  -0.20
Ta: 0.3750 0.4874 0.7500  -0.21
Ta: 0.8750 0.7626 0.7500  -0.20